Material: Ho2ZnGa3Ni4
Method: DFT, PBE
State: relaxed

Cell: 3.8695 3.8695 10.7929 Å, 90.00 90.00 90.00°
Space group P-4m2 (No. 115)
One atom of each set of equivalent atoms:
Ho 0.0000 0.5000 0.2428 [2 per cell]
Zn 0.5000 0.5000 0.0000 [1 per cell]
Ga 0.0000 0.0000 0.0000 [1 per cell]
Ga 0.0000 0.5000 0.6320 [2 per cell]
Ni 0.0000 0.0000 0.5000 [1 per cell]
Ni 0.0000 0.5000 0.8544 [2 per cell]
Ni 0.5000 0.5000 0.5000 [1 per cell]

Summary:
calculated density: 8.62 g/cm3
energy: -0.176 Ha/atom
ΔE_f: -0.52 eV per atom
D(E_F): 7.4 states/eV/cell
magnetization: 0.0 μB per cell